Density functional theory data (PBE) for Th2Hg3Pb3 after structural relaxation.

a b c (Å): 4.814 4.864 9.441
angles (deg): 90.00 90.00 90.00
Element x y z (fractional)
1 Hg 0.000 0.500 0.000
2 Hg 0.500 0.500 0.243
3 Hg 0.500 0.500 0.757
4 Pb 0.500 0.000 0.000
5 Pb 0.500 0.000 0.500
6 Pb 0.000 0.500 0.500
7 Th 0.000 0.000 0.250
8 Th 0.000 0.000 0.750

Computed properties:
The volume comes out at 27.63 Å³ per atom. For the total energy, the calculation gives -3.62 eV per atom.

=====

Density functional theory data (PBE) for La2CuNiGe2 after structural relaxation.

a b c (Å): 4.233 4.233 8.467
angles (deg): 90.00 90.00 120.00
Element x y z (fractional)
1 Cu 0.333 0.667 0.000
2 Ge 0.000 0.000 0.000
3 Ge 0.333 0.667 0.500
4 La 0.667 0.333 0.257
5 La 0.667 0.333 0.743
6 Ni 0.000 0.000 0.500

Computed properties:
The volume comes out at 21.89 Å³ per atom. For the total energy, the calculation gives -5.43 eV per atom.

=====

Density functional theory data (PBE) for ReNiSn2 after structural relaxation.

a b c (Å): 5.588 5.588 4.684
angles (deg): 90.00 90.00 111.75
Element x y z (fractional)
1 Ni 0.358 0.642 0.250
2 Ni 0.642 0.358 0.750
3 Re 0.878 0.122 0.250
4 Re 0.122 0.878 0.750
5 Sn 0.381 0.135 0.250
6 Sn 0.865 0.619 0.250
7 Sn 0.135 0.381 0.750
8 Sn 0.619 0.865 0.750

Computed properties:
The volume comes out at 16.98 Å³ per atom. The offset from the most stable computed form comes out at 0 meV/atom. For the total energy, the calculation gives -6.17 eV per atom.

=====

Density functional theory data (PBE) for PmZn4Pd2 after structural relaxation.

a b c (Å): 7.568 7.568 4.277
angles (deg): 90.00 90.00 90.00
Element x y z (fractional)
1 Pd 0.719 0.281 0.000
2 Pd 0.281 0.719 0.000
3 Pd 0.219 0.219 0.500
4 Pd 0.781 0.781 0.500
5 Pm 0.000 0.000 0.000
6 Pm 0.500 0.500 0.500
7 Zn 0.405 0.148 0.000
8 Zn 0.148 0.405 0.000
9 Zn 0.852 0.595 0.000
10 Zn 0.595 0.852 0.000
11 Zn 0.648 0.095 0.500
12 Zn 0.905 0.352 0.500
13 Zn 0.095 0.648 0.500
14 Zn 0.352 0.905 0.500

Computed properties:
The volume comes out at 17.50 Å³ per atom. The calculation puts the energy of formation at -0.543 eV per atom. For the total energy, the calculation gives -3.42 eV per atom.

=====

Density functional theory data (PBE) for LuBAu after structural relaxation.

a b c (Å): 4.438 4.438 4.438
angles (deg): 60.00 60.00 60.00
Element x y z (fractional)
1 Au 0.250 0.250 0.250
2 B 0.750 0.750 0.750
3 Lu 0.000 0.000 0.000

Computed properties:
The volume comes out at 20.60 Å³ per atom. The offset from the most stable computed form comes out at 737 meV/atom. For the total energy, the calculation gives -4.27 eV per atom.

=====

Density functional theory data (PBE) for AgPd after structural relaxation.

a b c (Å): 3.752 3.752 3.752
angles (deg): 60.00 60.00 60.00
Element x y z (fractional)
1 Ag 0.000 0.000 0.000
2 Pd 0.500 0.500 0.500

Computed properties:
The volume comes out at 18.68 Å³ per atom. The calculation puts the energy of formation at 0.475 eV per atom. For the total energy, the calculation gives -3.52 eV per atom.

=====

Density functional theory data (PBE) for BPIrO after structural relaxation.

a b c (Å): 2.662 6.314 5.524
angles (deg): 90.00 90.00 90.00
Element x y z (fractional)
1 B 0.000 0.394 0.028
2 B 0.000 0.606 0.528
3 Ir 0.500 0.030 0.420
4 Ir 0.500 0.970 0.920
5 O 0.500 0.691 0.427
6 O 0.500 0.309 0.927
7 P 0.000 0.317 0.379
8 P 0.000 0.683 0.879

Computed properties:
The volume comes out at 11.60 Å³ per atom. The offset from the most stable computed form comes out at 97 meV/atom. For the total energy, the calculation gives -7.07 eV per atom.

=====

Density functional theory data (PBE) for BaLiSbPt after structural relaxation.

a b c (Å): 5.141 5.141 5.141
angles (deg): 60.00 60.00 60.00
Element x y z (fractional)
1 Ba 0.000 0.000 0.000
2 Li 0.750 0.750 0.750
3 Pt 0.500 0.500 0.500
4 Sb 0.250 0.250 0.250

Computed properties:
The volume comes out at 24.01 Å³ per atom. The offset from the most stable computed form comes out at 136 meV/atom. For the total energy, the calculation gives -3.90 eV per atom.

=====

> Which value of total energy does entry 6 give?

-3.52 eV per atom

=====

Repeat the eighth record exactly.
Density functional theory data (PBE) for BaLiSbPt after structural relaxation.

a b c (Å): 5.141 5.141 5.141
angles (deg): 60.00 60.00 60.00
Element x y z (fractional)
1 Ba 0.000 0.000 0.000
2 Li 0.750 0.750 0.750
3 Pt 0.500 0.500 0.500
4 Sb 0.250 0.250 0.250

Computed properties:
The volume comes out at 24.01 Å³ per atom. The offset from the most stable computed form comes out at 136 meV/atom. For the total energy, the calculation gives -3.90 eV per atom.

=====

> Which value of total energy does entry 6 give?

-3.52 eV per atom

=====

> Which value of total energy does entry 1 give?

-3.62 eV per atom